No. 1
DFT (PBEsol) results for crystalline Dy5Co2Bi at its relaxed geometry.

abc: 8.5574 8.5574 8.5574
angles: 128.10 128.10 76.46
Fractional coordinates of all 16 atoms:
Dy: 0.0000 0.0000 0.0000
Dy: 0.0277 0.5277 0.8145
Dy: 0.2132 0.0277 0.5000
Dy: 0.2868 0.7868 0.8145
Dy: 0.4723 0.2868 0.5000
Dy: 0.5000 0.5000 0.0000
Dy: 0.5277 0.7132 0.5000
Dy: 0.7132 0.2132 0.1855
Dy: 0.7868 0.9723 0.5000
Dy: 0.9723 0.4723 0.1855
Co: 0.1371 0.3629 0.5000
Co: 0.3629 0.8629 0.2258
Co: 0.6371 0.1371 0.7742
Co: 0.8629 0.6371 0.5000
Bi: 0.2500 0.2500 0.0000
Bi: 0.7500 0.7500 0.0000

## Properties
The formation energy is -2.91 eV per formula unit. Its symmetry is I4/mcm (140).

---

No. 2
DFT (PBEsol) results for crystalline TlInI2O at its relaxed geometry.

abc: 6.0481 6.0481 3.9570
angles: 90.00 90.00 90.00
Fractional coordinates of all 5 atoms:
Tl: 0.0000 0.0000 0.0000
In: 0.5000 0.5000 0.5000
I: 0.0000 0.5000 0.5000
I: 0.5000 0.0000 0.5000
O: 0.5000 0.5000 0.0000

## Properties
For the formation energy from raw total energies, the calculation gives -0.614 eV/atom. Its symmetry is P4/mmm (123).

---

No. 3
DFT (PBEsol) results for crystalline Re3PbSe6 at its relaxed geometry.

abc: 9.6670 9.6670 12.1227
angles: 90.07 90.07 60.27
Fractional coordinates of all 40 atoms:
Re: 0.1005 0.8995 0.5000
Re: 0.1843 0.8125 0.7067
Re: 0.2833 0.9865 0.6059
Re: 0.3058 0.6004 0.5467
Re: 0.4020 0.7750 0.4437
Re: 0.4875 0.6887 0.6527
Re: 0.6004 0.3058 0.0467
Re: 0.6887 0.4875 0.1527
Re: 0.7750 0.4020 0.9437
Re: 0.8125 0.1843 0.2067
Re: 0.8995 0.1005 0.0000
Re: 0.9865 0.2833 0.1059
Pb: 0.0297 0.5312 0.8009
Pb: 0.1790 0.6328 0.0728
Pb: 0.5312 0.0297 0.3009
Pb: 0.6328 0.1790 0.5728
Se: 0.0144 0.7225 0.5992
Se: 0.0271 0.8349 0.8874
Se: 0.0651 0.2030 0.9093
Se: 0.0986 0.9937 0.1578
Se: 0.2030 0.0651 0.4093
Se: 0.2206 0.6926 0.3519
Se: 0.2386 0.2832 0.1640
Se: 0.2832 0.2386 0.6640
Se: 0.3111 0.3437 0.4901
Se: 0.3437 0.3111 0.9901
Se: 0.3652 0.8935 0.8021
Se: 0.3845 0.5246 0.7453
Se: 0.4909 0.6007 0.9969
Se: 0.5210 0.7577 0.2503
Se: 0.5246 0.3845 0.2453
Se: 0.5739 0.8639 0.5501
Se: 0.6007 0.4909 0.4969
Se: 0.6926 0.2206 0.8519
Se: 0.7225 0.0144 0.0992
Se: 0.7577 0.5210 0.7503
Se: 0.8349 0.0271 0.3874
Se: 0.8639 0.5739 0.0501
Se: 0.8935 0.3652 0.3021
Se: 0.9937 0.0986 0.6578

## Properties
For the formation energy from raw total energies, the calculation gives -0.381 eV/atom. Its symmetry is Cc (9).

---

no.,mass density (g/cm3),calculated volume (Å³/atom)
1,10.04,23.56
2,6.76,28.95
3,8.37,24.59